w:
Sr5Ir: optimized geometry, GGA-PBEsol.

## Properties
Symmetry = C2/m (12)

a b c (Å): 13.874 3.865 9.998
angles (deg): 90.00 114.87 90.00
Fractional coordinates of all 12 atoms:
Sr: 0.000 0.000 0.000
Sr: 0.114 0.500 0.388
Sr: 0.161 0.500 0.762
Sr: 0.339 0.000 0.238
Sr: 0.386 0.000 0.612
Sr: 0.500 0.500 0.000
Sr: 0.614 0.000 0.388
Sr: 0.661 0.000 0.762
Sr: 0.839 0.500 0.238
Sr: 0.886 0.500 0.612
Ir: 0.000 0.000 0.500
Ir: 0.500 0.500 0.500



x:
Sr5Ir: optimized geometry, GGA-PBEsol.

## Properties
Symmetry = P4/mmm (123)

a b c (Å): 3.780 3.780 16.639
angles (deg): 90.00 90.00 90.00
Fractional coordinates of all 6 atoms:
Sr: 0.000 0.000 0.000
Sr: 0.000 0.000 0.402
Sr: 0.000 0.000 0.598
Sr: 0.500 0.500 0.196
Sr: 0.500 0.500 0.804
Ir: 0.500 0.500 0.500



Stability, descending: w, x



w:
SrTa2Ir: optimized geometry, GGA-PBEsol.

## Properties
Symmetry = Cm (8)

a b c (Å): 9.955 3.032 6.019
angles (deg): 90.00 103.64 90.00
Fractional coordinates of all 8 atoms:
Sr: 0.000 0.000 0.000
Sr: 0.500 0.500 0.000
Ta: 0.202 0.000 0.637
Ta: 0.471 0.000 0.474
Ta: 0.702 0.500 0.637
Ta: 0.971 0.500 0.474
Ir: 0.257 0.500 0.317
Ir: 0.757 0.000 0.317



x:
SrTa2Ir: optimized geometry, GGA-PBEsol.

## Properties
Symmetry = Cmmm (65)

a b c (Å): 5.492 9.723 2.831
angles (deg): 90.00 90.00 90.00
Fractional coordinates of all 8 atoms:
Sr: 0.000 0.000 0.000
Sr: 0.500 0.500 0.000
Ta: 0.250 0.250 0.500
Ta: 0.250 0.750 0.500
Ta: 0.750 0.250 0.500
Ta: 0.750 0.750 0.500
Ir: 0.000 0.500 0.000
Ir: 0.500 0.000 0.000



y:
SrTa2Ir: optimized geometry, GGA-PBEsol.

## Properties
Symmetry = C2/m (12)

a b c (Å): 11.626 2.954 5.130
angles (deg): 90.00 110.36 90.00
Fractional coordinates of all 8 atoms:
Sr: 0.000 0.000 0.000
Sr: 0.500 0.500 0.000
Ta: 0.205 0.000 0.685
Ta: 0.295 0.500 0.315
Ta: 0.705 0.500 0.685
Ta: 0.795 0.000 0.315
Ir: 0.000 0.500 0.500
Ir: 0.500 0.000 0.500



Stability, descending: y, w, x



w:
SrTcIr2: optimized geometry, GGA-PBEsol.

## Properties
Symmetry = Fm-3m (225)

a b c (Å): 6.525 6.525 6.525
angles (deg): 90.00 90.00 90.00
Fractional coordinates of all 16 atoms:
Sr: 0.000 0.000 0.000
Sr: 0.000 0.500 0.500
Sr: 0.500 0.000 0.500
Sr: 0.500 0.500 0.000
Tc: 0.000 0.000 0.500
Tc: 0.000 0.500 0.000
Tc: 0.500 0.000 0.000
Tc: 0.500 0.500 0.500
Ir: 0.250 0.250 0.250
Ir: 0.250 0.250 0.750
Ir: 0.250 0.750 0.250
Ir: 0.250 0.750 0.750
Ir: 0.750 0.250 0.250
Ir: 0.750 0.250 0.750
Ir: 0.750 0.750 0.250
Ir: 0.750 0.750 0.750



x:
SrTcIr2: optimized geometry, GGA-PBEsol.

## Properties
Symmetry = Immm (71)

a b c (Å): 3.560 4.953 8.400
angles (deg): 90.00 90.00 90.00
Fractional coordinates of all 8 atoms:
Sr: 0.000 0.000 0.000
Sr: 0.500 0.500 0.500
Tc: 0.000 0.000 0.500
Tc: 0.500 0.500 0.000
Ir: 0.000 0.500 0.206
Ir: 0.000 0.500 0.794
Ir: 0.500 0.000 0.294
Ir: 0.500 0.000 0.706



Stability, descending: x, w



w:
SrTcIr2: optimized geometry, GGA-PBEsol.

## Properties
Symmetry = Pmmm (47)

a b c (Å): 2.808 3.503 7.358
angles (deg): 90.00 90.00 90.00
Fractional coordinates of all 4 atoms:
Sr: 0.000 0.000 0.000
Tc: 0.000 0.000 0.500
Ir: 0.500 0.500 0.314
Ir: 0.500 0.500 0.686



x:
SrTcIr2: optimized geometry, GGA-PBEsol.

## Properties
Symmetry = Pm (6)

a b c (Å): 2.805 4.364 6.054
angles (deg): 90.00 101.52 90.00
Fractional coordinates of all 4 atoms:
Sr: 0.000 0.000 0.000
Tc: 0.727 0.500 0.376
Ir: 0.299 0.000 0.497
Ir: 0.390 0.500 0.745



Stability, descending: w, x